[1]
Below is an optimized crystal structure of TmPuPt, with properties calculated at the PBE level.

The calculation puts the final energy at -106.75 eV for the cell shown. The energy relative to the elements comes out at -677 meV per atom. The value obtained for the energy above the most stable polymorph in this dataset is 0.00 kcal/mol of atoms. The total magnetic moment comes out at 24.371 μB per cell.

The structure belongs to space group F-43m (No. 216); the cell edges are 6.817, 6.817 and 6.817 Å and the angles 90.00°, 90.00° and 90.00°. The asymmetric unit holds Tm at (0.000, 0.000, 0.000), Pu at (0.000, 0.000, 0.500) and Pt at (0.250, 0.250, 0.750).


[2]
Below is an optimized crystal structure of K2Hg2Te3, with properties calculated at the PBE level.

The calculation puts the final energy at -63.71 eV for the cell shown. The value obtained for the energy above the most stable polymorph in this dataset is 0.00 kcal/mol of atoms.

The structure belongs to space group I2_13 (No. 199); the cell edges are 11.365, 11.365 and 11.365 Å and the angles 90.00°, 90.00° and 90.00°. The asymmetric unit holds K at (0.021, 0.021, 0.021), Hg at (0.198, 0.198, 0.198) and Te at (0.000, 0.250, 0.337).


[3]
Below is an optimized crystal structure of PrTlFeSe3, with properties calculated at the PBE level.

The calculation puts the final energy at -125.53 eV for the cell shown. The value obtained for the energy above the most stable polymorph in this dataset is 0.37 kcal/mol of atoms. The total magnetic moment comes out at 15.991 μB per cell.

The structure belongs to space group Pnma (No. 62); the cell edges are 11.628, 4.348 and 12.668 Å and the angles 90.00°, 90.00° and 90.00°. The asymmetric unit holds Pr at (0.021, 0.250, 0.173), Tl at (0.168, 0.250, 0.505), Fe at (0.246, 0.250, 0.794), Se at (0.051, 0.750, 0.334), Se at (0.112, 0.250, 0.942) and Se at (0.215, 0.750, 0.702).


[4]
Below is an optimized crystal structure of PuNbTc, with properties calculated at the PBE level.

The calculation puts the final energy at -128.39 eV for the cell shown. The energy relative to the elements comes out at 828 meV per atom. The value obtained for the energy above the most stable polymorph in this dataset is 6.45 kcal/mol of atoms. The total magnetic moment comes out at 16.616 μB per cell.

The structure belongs to space group F-43m (No. 216); the cell edges are 6.193, 6.193 and 6.193 Å and the angles 90.00°, 90.00° and 90.00°. The asymmetric unit holds Pu at (0.000, 0.000, 0.000), Nb at (0.250, 0.250, 0.750) and Tc at (0.250, 0.250, 0.250).